Material: K2InAs
Method: DFT, SCAN
State: PBEsol geometry

```
4
Lattice="-3.2778 -2.0676 1.6876 0.9271 -4.0240 -3.1294 3.3845 -0.5121 5.9462" Properties=species:S:1:pos:R:3 pbc="T T T"
As 1.7937 -0.9623 2.3049
K 4.0310 -4.1398 2.7575
K 0.0630 -3.6452 0.9499
In 1.1498 -2.6484 4.2821
```

Summary:
Formation energy   -10.048 kcal/mol of atoms
Offset from the most stable computed form   0.0 meV/atom
Magnetization   0.00 μB/cell